Compound: AlP3Se
Source: Alexandria via LeMat-Bulk
Functional: PBEsol
Structure: optimized geometry

Properties
**V**: 96 Å³/cell
**Total DFT energy (no corrections)**: -4.26 eV per atom
**DOS at the Fermi energy**: 0.8236 states/eV per atom

Unit cell a=4.5713 b=4.5713 c=4.5713 alpha=90.00 beta=90.00 gamma=90.00
Space group Pm-3m (No. 221)
Inequivalent atoms, fractional coordinates:
Al  0.0000  0.0000  0.0000
P  0.0000  0.0000  0.5000
Se  0.5000  0.5000  0.5000

---

Compound: AlPSe2
Source: Alexandria via LeMat-Bulk
Functional: PBEsol
Structure: optimized geometry

Properties
**V**: 164 Å³/cell
**Energy above the most stable polymorph in this dataset**: 83 meV per atom
**DOS at the Fermi energy**: 0.3910 states/eV per atom

Unit cell a=3.3408 b=3.4994 c=13.9857 alpha=90.00 beta=90.00 gamma=90.00
Space group Imm2 (No. 44)
Inequivalent atoms, fractional coordinates:
Al  0.0000  0.0000  0.0000
P  0.0000  0.5000  0.6491
Se  0.0000  0.0000  0.4323
Se  0.0000  0.5000  0.2020

---

Compound: AlPSe2
Source: Alexandria via LeMat-Bulk
Functional: PBEsol
Structure: optimized geometry

Properties
**V**: 274 Å³/cell
**Energy above the most stable polymorph in this dataset**: 437 meV per atom
**DOS at the Fermi energy**: 0.6113 states/eV per atom

Unit cell a=6.4987 b=6.4987 c=6.4987 alpha=90.00 beta=90.00 gamma=90.00
Space group Fm-3m (No. 225)
Inequivalent atoms, fractional coordinates:
Al  0.0000  0.0000  0.0000
P  0.0000  0.0000  0.5000
Se  0.2500  0.2500  0.2500

---

Compound: AlPSe2
Source: Alexandria via LeMat-Bulk
Functional: PBEsol
Structure: optimized geometry

Properties
**V**: 153 Å³/cell
**Energy above the most stable polymorph in this dataset**: 474 meV per atom
**DOS at the Fermi energy**: 0.5506 states/eV per atom

Unit cell a=3.6746 b=3.6746 c=11.3289 alpha=90.00 beta=90.00 gamma=90.00
Space group I4/mmm (No. 139)
Inequivalent atoms, fractional coordinates:
Al  0.0000  0.0000  0.0000
P  0.0000  0.0000  0.5000
Se  0.0000  0.5000  0.2500

---

Compound: AlPSe2
Source: Alexandria via LeMat-Bulk
Functional: PBEsol
Structure: optimized geometry

Properties
**V**: 82 Å³/cell
**Energy above the most stable polymorph in this dataset**: 0 meV per atom
**DOS at the Fermi energy**: 0.3232 states/eV per atom

Unit cell a=4.3863 b=3.5944 c=5.6369 alpha=90.00 beta=112.00 gamma=90.00
Space group Pm (No. 6)
Inequivalent atoms, fractional coordinates:
Al  0.0000  0.0000  0.0000
P  0.4280  0.5000  0.1286
Se  0.5803  0.5000  0.7821
Se  0.8625  0.0000  0.3864

---

Compound: AlPSe2
Source: Alexandria via LeMat-Bulk
Functional: PBEsol
Structure: optimized geometry

Properties
**V**: 151 Å³/cell
**Energy above the most stable polymorph in this dataset**: 140 meV per atom
**DOS at the Fermi energy**: 0.4755 states/eV per atom

Unit cell a=5.3403 b=7.6031 c=3.7131 alpha=90.00 beta=90.00 gamma=90.00
Space group Cmmm (No. 65)
Inequivalent atoms, fractional coordinates:
Al  0.0000  0.0000  0.0000
P  0.0000  0.5000  0.0000
Se  0.0000  0.2442  0.5000